1.
Crystalline Te2SeCl at its relaxed geometry. Source: the Alexandria database, functional PBE. Values from VASP.

Energy relative to the lowest polymorph listed for this composition ... 0.164 eV/atom
ρ ... 5260 kg/m3
Spin magnetization ... 0.00 μB/cell
Raw formation energy ... 0.02 eV per atom
Space-group type ... No. 10
Uncorrected energy ... -0.1061 hartree per atom

```
&SYSTEM
  ibrav = 0, nat = 4, ntyp = 3
/
ATOMIC_SPECIES
Cl 35.45 Cl.upf
Se 78.96 Se.upf
Te 127.60 Te.upf
ATOMIC_POSITIONS angstrom
Cl 2.309 0.137 1.825
Se 2.309 0.412 5.475
Te 0.000 0.522 7.038
Te 0.000 0.302 3.913
CELL_PARAMETERS angstrom
4.618 0.000 0.000
0.000 3.444 -0.228
0.000 -2.895 7.529
```

=====

2.
Crystalline TaTlBiC2 at its relaxed geometry. Source: the Alexandria database, functional PBE. Values from VASP.

ρ ... 9662 kg/m3
Spin magnetization ... 0.00 μB/cell
Space-group type ... No. 123
Uncorrected energy ... -0.1631 hartree per atom

```
&SYSTEM
  ibrav = 0, nat = 5, ntyp = 4
/
ATOMIC_SPECIES
C 12.01 C.upf
Tl 204.38 Tl.upf
Bi 208.98 Bi.upf
Ta 180.95 Ta.upf
ATOMIC_POSITIONS angstrom
C 0.000 0.000 2.162
C 2.162 0.000 0.000
Tl 0.000 0.000 0.000
Bi 2.162 2.842 2.162
Ta 0.000 2.842 0.000
CELL_PARAMETERS angstrom
4.324 0.000 0.000
0.000 5.683 0.000
0.000 0.000 4.324
```

=====

3.
Crystalline Mg2CrNi at its relaxed geometry. Source: the Alexandria database, functional PBE. Values from VASP.

Energy relative to the lowest polymorph listed for this composition ... 0.002 eV/atom
ρ ... 4112 kg/m3
Spin magnetization ... 4.08 μB/cell
Space-group type ... No. 139
Uncorrected energy ... -0.1639 hartree per atom

```
&SYSTEM
  ibrav = 0, nat = 4, ntyp = 3
/
ATOMIC_SPECIES
Cr 52.00 Cr.upf
Mg 24.30 Mg.upf
Ni 58.69 Ni.upf
ATOMIC_POSITIONS angstrom
Cr 0.627 2.299 1.467
Mg 0.000 0.000 0.000
Mg 3.010 2.290 0.000
Ni 2.393 -0.022 1.449
CELL_PARAMETERS angstrom
4.776 -0.031 -0.018
1.244 4.611 0.018
-2.999 -2.304 2.916
```

=====

4.
Crystalline TaSb2TeI at its relaxed geometry. Source: the Alexandria database, functional PBE. Values from VASP.

Energy relative to the lowest polymorph listed for this composition ... 1.612 eV/atom
ρ ... 6337 kg/m3
Spin magnetization ... 2.15 μB/cell
Raw formation energy ... 1.83 eV per atom
Space-group type ... No. 123
Uncorrected energy ... -0.1148 hartree per atom

```
&SYSTEM
  ibrav = 0, nat = 5, ntyp = 4
/
ATOMIC_SPECIES
I 126.90 I.upf
Sb 121.76 Sb.upf
Te 127.60 Te.upf
Ta 180.95 Ta.upf
ATOMIC_POSITIONS angstrom
I 0.000 0.000 0.000
Sb 0.000 2.828 0.000
Sb 2.828 0.000 0.000
Te 0.000 0.000 2.781
Ta 2.828 2.828 2.781
CELL_PARAMETERS angstrom
5.656 0.000 0.000
0.000 5.656 0.000
0.000 0.000 5.561
```